{"formula": "ZrZn3Ni", "functional": "PBE-GGA", "state": "optimized geometry", "e_above_lowest_polymorph_ev_per_atom": 0.328, "e_form_ev_per_atom": 0.101, "e_tot_ha_per_atom": -0.12970, "m_tot_mub_per_fu": 0.00, "cell": [[4.434, 0.000, 0.000], [0.000, 4.434, 0.000], [0.000, 0.000, 4.434]], "species": ["Zr", "Zn", "Zn", "Zn", "Ni"], "frac_coords": [[0.000, 0.000, 0.000], [0.000, 0.500, 0.500], [0.500, 0.000, 0.500], [0.500, 0.500, 0.000], [0.500, 0.500, 0.500]]}

{"formula": "CuSnCl3", "functional": "PBE-GGA", "state": "optimized geometry", "formation_energy_uncorrected_ev_per_atom": -0.751, "e_tot_ha_per_atom": -0.12783, "m_tot_mub_per_fu": 0.08, "cell": [[6.771, 0.000, 0.000], [0.000, 8.229, 0.000], [-6.729, 0.000, 9.662]], "species": ["Cu", "Cu", "Cu", "Cu", "Sn", "Sn", "Sn", "Sn", "Cl", "Cl", "Cl", "Cl", "Cl", "Cl", "Cl", "Cl", "Cl", "Cl", "Cl", "Cl"], "frac_coords": [[0.173, 0.117, 0.076], [0.173, 0.383, 0.576], [0.827, 0.617, 0.424], [0.827, 0.883, 0.924], [0.209, 0.543, 0.248], [0.209, 0.957, 0.748], [0.791, 0.043, 0.252], [0.791, 0.457, 0.752], [0.067, 0.684, 0.939], [0.067, 0.816, 0.439], [0.292, 0.179, 0.932], [0.292, 0.321, 0.432], [0.414, 0.557, 0.745], [0.414, 0.943, 0.245], [0.586, 0.057, 0.755], [0.586, 0.443, 0.255], [0.708, 0.679, 0.568], [0.708, 0.821, 0.068], [0.933, 0.184, 0.561], [0.933, 0.316, 0.061]]}

{"formula": "Pr2HfScSb4", "functional": "PBE-GGA", "state": "optimized geometry", "formation_energy_uncorrected_ev_per_atom": -0.931, "e_tot_ha_per_atom": -0.22867, "m_tot_mub_per_fu": 0.00, "cell": [[7.502, 0.000, 0.000], [0.000, 4.336, 0.000], [-2.495, 0.000, 7.101]], "species": ["Pr", "Pr", "Hf", "Sc", "Sb", "Sb", "Sb", "Sb"], "frac_coords": [[0.000, 0.000, 0.000], [0.500, 0.500, 0.000], [0.000, 0.500, 0.500], [0.500, 0.000, 0.500], [0.239, 0.000, 0.722], [0.257, 0.500, 0.278], [0.743, 0.500, 0.722], [0.761, 0.000, 0.278]]}

{"formula": "Co2AgAsCl", "functional": "PBE-GGA", "state": "optimized geometry", "formation_energy_uncorrected_ev_per_atom": 1.274, "e_tot_ha_per_atom": -0.12634, "m_tot_mub_per_fu": 4.84, "cell": [[5.015, 0.000, 0.000], [0.000, 5.015, 0.000], [0.000, 0.000, 4.666]], "species": ["Co", "Co", "Ag", "As", "Cl"], "frac_coords": [[0.000, 0.500, 0.000], [0.500, 0.000, 0.000], [0.000, 0.000, 0.000], [0.000, 0.000, 0.500], [0.500, 0.500, 0.500]]}

{"formula": "TbBeGe2Rh", "functional": "PBE-GGA", "state": "optimized geometry", "e_form_ev_per_atom": -0.631, "e_tot_ha_per_atom": -0.20651, "m_tot_mub_per_fu": 0.00, "cell": [[-1.981, 1.981, 5.346], [1.981, -1.981, 5.346], [1.981, 1.981, -5.346]], "species": ["Tb", "Be", "Ge", "Ge", "Rh"], "frac_coords": [[0.000, 0.000, 0.000], [0.250, 0.750, 0.500], [0.383, 0.383, 0.000], [0.617, 0.617, 0.000], [0.750, 0.250, 0.500]]}

{"formula": "Y6Tl3Cu", "functional": "PBE-GGA", "state": "optimized geometry", "e_form_ev_per_atom": -0.182, "e_tot_ha_per_atom": -0.19036, "m_tot_mub_per_fu": 0.00, "cell": [[6.333, 0.000, 0.000], [0.000, 8.752, 0.000], [-5.969, 0.000, 10.592]], "species": ["Y", "Y", "Y", "Y", "Y", "Y", "Y", "Y", "Y", "Y", "Y", "Y", "Tl", "Tl", "Tl", "Tl", "Tl", "Tl", "Cu", "Cu"], "frac_coords": [[0.064, 0.163, 0.438], [0.064, 0.337, 0.938], [0.334, 0.692, 0.436], [0.334, 0.808, 0.936], [0.410, 0.055, 0.265], [0.410, 0.445, 0.765], [0.590, 0.555, 0.235], [0.590, 0.945, 0.735], [0.666, 0.192, 0.064], [0.666, 0.308, 0.564], [0.936, 0.663, 0.062], [0.936, 0.837, 0.562], [0.000, 0.000, 0.000], [0.000, 0.500, 0.500], [0.168, 0.113, 0.759], [0.168, 0.387, 0.259], [0.832, 0.613, 0.741], [0.832, 0.887, 0.241], [0.500, 0.000, 0.500], [0.500, 0.500, 0.000]]}

{"formula": "PmSmRuAu", "functional": "PBE-GGA", "state": "optimized geometry", "e_above_lowest_polymorph_ev_per_atom": 0.000, "e_form_ev_per_atom": -0.527, "e_tot_ha_per_atom": -0.22171, "m_tot_mub_per_fu": 0.00, "cell": [[3.512, 0.000, 0.000], [0.000, 3.512, 0.000], [0.000, 0.000, 7.479]], "species": ["Pm", "Sm", "Ru", "Au"], "frac_coords": [[0.000, 0.000, 0.000], [0.000, 0.000, 0.461], [0.500, 0.500, 0.232], [0.500, 0.500, 0.728]]}

{"formula": "V12Ge6C", "functional": "PBE-GGA", "state": "optimized geometry", "e_form_ev_per_atom": -0.022, "e_tot_ha_per_atom": -0.28389, "m_tot_mub_per_fu": 0.00, "cell": [[5.179, 2.990, 3.021], [-5.179, 2.990, 3.021], [0.000, -5.980, 3.021]], "species": ["V", "V", "V", "V", "V", "V", "V", "V", "V", "V", "V", "V", "Ge", "Ge", "Ge", "Ge", "Ge", "Ge", "C"], "frac_coords": [[0.026, 0.058, 0.310], [0.058, 0.310, 0.026], [0.205, 0.500, 0.403], [0.310, 0.026, 0.058], [0.403, 0.205, 0.500], [0.500, 0.403, 0.205], [0.500, 0.597, 0.795], [0.597, 0.795, 0.500], [0.690, 0.974, 0.942], [0.795, 0.500, 0.597], [0.942, 0.690, 0.974], [0.974, 0.942, 0.690], [0.115, 0.326, 0.677], [0.323, 0.885, 0.674], [0.326, 0.677, 0.115], [0.674, 0.323, 0.885], [0.677, 0.115, 0.326], [0.885, 0.674, 0.323], [0.000, 0.000, 0.000]]}

{"formula": "LaS3Br", "functional": "PBE-GGA", "state": "optimized geometry", "e_above_lowest_polymorph_ev_per_atom": 0.000, "formation_energy_uncorrected_ev_per_atom": -0.330, "e_tot_ha_per_atom": -0.15164, "m_tot_mub_per_fu": 0.00, "cell": [[4.891, 0.000, 0.000], [0.000, 4.891, 0.000], [0.000, 0.000, 4.891]], "species": ["La", "S", "S", "S", "Br"], "frac_coords": [[0.000, 0.000, 0.000], [0.000, 0.500, 0.500], [0.500, 0.000, 0.500], [0.500, 0.500, 0.000], [0.500, 0.500, 0.500]]}

{"formula": "Rb2TiSbBr6", "functional": "PBE-GGA", "state": "optimized geometry", "formation_energy_uncorrected_ev_per_atom": -1.058, "e_tot_ha_per_atom": -0.12703, "m_tot_mub_per_fu": 1.00, "cell": [[-3.855, 3.855, 6.339], [3.855, -3.855, 6.339], [3.855, 3.855, -6.339]], "species": ["Rb", "Rb", "Ti", "Sb", "Br", "Br", "Br", "Br", "Br", "Br"], "frac_coords": [[0.250, 0.750, 0.500], [0.750, 0.250, 0.500], [0.000, 0.000, 0.000], [0.500, 0.500, 0.000], [0.205, 0.205, 0.000], [0.242, 0.242, 0.483], [0.242, 0.758, 0.000], [0.758, 0.242, 0.000], [0.758, 0.758, 0.517], [0.795, 0.795, 0.000]]}

{"formula": "Re4HgSb", "functional": "PBE-GGA", "state": "optimized geometry", "formation_energy_uncorrected_ev_per_atom": 0.838, "e_tot_ha_per_atom": -0.30128, "m_tot_mub_per_fu": 0.00, "cell": [[0.000, 3.780, 3.780], [3.780, 0.000, 3.780], [3.780, 3.780, 0.000]], "species": ["Re", "Re", "Re", "Re", "Hg", "Sb"], "frac_coords": [[0.125, 0.125, 0.125], [0.125, 0.125, 0.624], [0.125, 0.624, 0.125], [0.624, 0.125, 0.125], [0.500, 0.500, 0.500], [0.750, 0.750, 0.750]]}

{"formula": "CaTcBr2", "functional": "PBE-GGA", "state": "optimized geometry", "e_above_lowest_polymorph_ev_per_atom": 0.274, "formation_energy_uncorrected_ev_per_atom": -0.089, "e_tot_ha_per_atom": -0.14765, "m_tot_mub_per_fu": 4.03, "cell": [[1.899, 1.096, 10.547], [-1.899, 1.096, 10.547], [0.000, -2.193, 10.547]], "species": ["Ca", "Tc", "Br", "Br"], "frac_coords": [[0.000, 0.000, 0.000], [0.500, 0.500, 0.500], [0.277, 0.277, 0.277], [0.723, 0.723, 0.723]]}

{"formula": "YHo5Al3", "functional": "PBE-GGA", "state": "optimized geometry", "e_form_ev_per_atom": -0.276, "e_tot_ha_per_atom": -0.17586, "m_tot_mub_per_fu": 0.00, "cell": [[9.040, 0.000, 0.000], [-4.520, 7.829, 0.000], [0.000, 0.000, 6.626]], "species": ["Y", "Y", "Ho", "Ho", "Ho", "Ho", "Ho", "Ho", "Ho", "Ho", "Ho", "Ho", "Al", "Al", "Al", "Al", "Al", "Al"], "frac_coords": [[0.000, 0.000, 0.000], [0.000, 0.000, 0.500], [0.000, 0.335, 0.250], [0.000, 0.665, 0.750], [0.333, 0.667, 0.000], [0.333, 0.667, 0.500], [0.335, 0.000, 0.250], [0.335, 0.335, 0.750], [0.665, 0.000, 0.750], [0.665, 0.665, 0.250], [0.667, 0.333, 0.000], [0.667, 0.333, 0.500], [0.000, 0.332, 0.750], [0.000, 0.668, 0.250], [0.332, 0.000, 0.750], [0.332, 0.332, 0.250], [0.668, 0.000, 0.250], [0.668, 0.668, 0.750]]}

{"formula": "Ac2Mg5Ir4", "functional": "PBE-GGA", "state": "optimized geometry", "e_form_ev_per_atom": -0.278, "e_tot_ha_per_atom": -0.18271, "m_tot_mub_per_fu": 0.00, "cell": [[6.760, -2.967, 0.000], [6.760, 2.967, 0.000], [-4.144, 0.000, 6.746]], "species": ["Ac", "Ac", "Mg", "Mg", "Mg", "Mg", "Mg", "Ir", "Ir", "Ir", "Ir"], "frac_coords": [[0.217, 0.217, 0.120], [0.783, 0.783, 0.880], [0.152, 0.652, 0.605], [0.348, 0.848, 0.395], [0.500, 0.500, 0.000], [0.652, 0.152, 0.605], [0.848, 0.348, 0.395], [0.090, 0.090, 0.677], [0.286, 0.286, 0.724], [0.714, 0.714, 0.276], [0.910, 0.910, 0.323]]}

{"formula": "Tb6SmDy2", "functional": "PBE-GGA", "state": "optimized geometry", "e_above_lowest_polymorph_ev_per_atom": 0.158, "e_form_ev_per_atom": 0.354, "e_tot_ha_per_atom": -0.15730, "m_tot_mub_per_fu": 0.00, "cell": [[3.686, 2.128, 6.371], [-3.686, 2.128, 6.371], [0.000, -4.257, 6.371]], "species": ["Tb", "Tb", "Tb", "Tb", "Tb", "Tb", "Sm", "Dy", "Dy"], "frac_coords": [[0.174, 0.174, 0.652], [0.174, 0.652, 0.174], [0.387, 0.387, 0.819], [0.387, 0.819, 0.387], [0.652, 0.174, 0.174], [0.819, 0.387, 0.387], [0.118, 0.118, 0.118], [0.680, 0.680, 0.680], [0.855, 0.855, 0.855]]}

{"formula": "DyEr2Pt", "functional": "PBE-GGA", "state": "optimized geometry", "e_above_lowest_polymorph_ev_per_atom": 0.200, "e_form_ev_per_atom": -0.533, "e_tot_ha_per_atom": -0.20120, "m_tot_mub_per_fu": 0.00, "cell": [[1.943, 1.122, 8.955], [-1.943, 1.122, 8.955], [0.000, -2.243, 8.955]], "species": ["Dy", "Er", "Er", "Pt"], "frac_coords": [[0.000, 0.000, 0.000], [0.230, 0.230, 0.230], [0.441, 0.441, 0.441], [0.836, 0.836, 0.836]]}

{"formula": "MnCrBPdAu", "functional": "PBE-GGA", "state": "optimized geometry", "e_above_lowest_polymorph_ev_per_atom": 0.117, "e_form_ev_per_atom": 0.126, "e_tot_ha_per_atom": -0.24482, "m_tot_mub_per_fu": 0.74, "cell": [[4.391, -1.515, 0.000], [4.391, 1.515, 0.000], [-3.737, 0.000, 5.075]], "species": ["Mn", "Cr", "B", "Pd", "Au"], "frac_coords": [[0.000, 0.000, 0.000], [0.365, 0.365, 0.171], [0.315, 0.315, 0.728], [0.757, 0.757, 0.439], [0.605, 0.605, 0.729]]}

{"formula": "Na7AlSn11P18O72", "functional": "PBE-GGA", "state": "optimized geometry", "formation_energy_uncorrected_ev_per_atom": -2.101, "e_tot_ha_per_atom": -0.24962, "m_tot_mub_per_fu": 0.00, "cell": [[8.700, 0.000, 0.000], [-4.345, 7.921, 0.000], [-0.017, -0.751, 21.473]], "species": ["Na", "Na", "Na", "Na", "Na", "Na", "Na", "Al", "Sn", "Sn", "Sn", "Sn", "Sn", "Sn", "Sn", "Sn", "Sn", "Sn", "Sn", "P", "P", "P", "P", "P", "P", "P", "P", "P", "P", "P", "P", "P", "P", "P", "P", "P", "P", "O", "O", "O", "O", "O", "O", "O", "O", "O", "O", "O", "O", "O", "O", "O", "O", "O", "O", "O", "O", "O", "O", "O", "O", "O", "O", "O", "O", "O", "O", "O", "O", "O", "O", "O", "O", "O", "O", "O", "O", "O", "O", "O", "O", "O", "O", "O", "O", "O", "O", "O", "O", "O", "O", "O", "O", "O", "O", "O", "O", "O", "O", "O", "O", "O", "O", "O", "O", "O", "O", "O", "O"], "frac_coords": [[0.000, 0.000, 0.000], [0.003, 0.988, 0.489], [0.312, 0.680, 0.665], [0.333, 0.667, 0.168], [0.662, 0.331, 0.333], [0.666, 0.335, 0.833], [0.770, 0.903, 0.627], [0.529, 0.068, 0.617], [0.137, 0.277, 0.215], [0.138, 0.281, 0.716], [0.195, 0.387, 0.455], [0.196, 0.391, 0.951], [0.467, 0.941, 0.382], [0.469, 0.945, 0.883], [0.527, 0.054, 0.118], [0.801, 0.605, 0.547], [0.802, 0.608, 0.048], [0.860, 0.722, 0.284], [0.861, 0.722, 0.781], [0.038, 0.663, 0.416], [0.105, 0.906, 0.651], [0.136, 0.571, 0.819], [0.194, 0.100, 0.846], [0.236, 0.766, 0.014], [0.291, 0.997, 0.249], [0.374, 0.336, 0.084], [0.429, 0.567, 0.321], [0.471, 0.231, 0.488], [0.523, 0.768, 0.517], [0.569, 0.431, 0.677], [0.624, 0.665, 0.915], [0.705, 0.009, 0.748], [0.763, 0.236, 0.985], [0.804, 0.902, 0.152], [0.860, 0.429, 0.180], [0.903, 0.096, 0.348], [0.947, 0.323, 0.584], [0.001, 0.169, 0.411], [0.020, 0.778, 0.704], [0.035, 0.275, 0.530], [0.039, 0.440, 0.197], [0.045, 0.919, 0.833], [0.050, 0.749, 0.013], [0.058, 0.509, 0.433], [0.071, 0.382, 0.643], [0.081, 0.064, 0.664], [0.104, 0.456, 0.874], [0.115, 0.835, 0.256], [0.136, 0.164, 0.905], [0.196, 0.509, 0.760], [0.212, 0.827, 0.410], [0.233, 0.217, 0.791], [0.234, 0.596, 0.004], [0.262, 0.284, 0.023], [0.272, 0.152, 0.233], [0.278, 0.380, 0.136], [0.278, 0.754, 0.831], [0.289, 0.223, 0.479], [0.293, 0.941, 0.645], [0.324, 0.836, 0.079], [0.335, 0.492, 0.258], [0.335, 0.893, 0.964], [0.336, 0.451, 0.375], [0.370, 0.585, 0.511], [0.371, 0.104, 0.860], [0.385, 0.418, 0.680], [0.387, 0.953, 0.198], [0.394, 0.182, 0.100], [0.404, 0.049, 0.310], [0.438, 0.741, 0.327], [0.450, 0.501, 0.921], [0.462, 0.128, 0.543], [0.491, 0.853, 0.576], [0.518, 0.166, 0.427], [0.550, 0.499, 0.077], [0.550, 0.868, 0.458], [0.563, 0.264, 0.661], [0.593, 0.977, 0.688], [0.603, 0.819, 0.900], [0.611, 0.420, 0.494], [0.613, 0.037, 0.804], [0.613, 0.580, 0.320], [0.625, 0.893, 0.137], [0.663, 0.114, 0.037], [0.665, 0.498, 0.741], [0.668, 0.570, 0.629], [0.673, 0.164, 0.921], [0.702, 0.771, 0.528], [0.717, 0.244, 0.171], [0.717, 0.626, 0.860], [0.720, 0.086, 0.351], [0.731, 0.850, 0.751], [0.739, 0.715, 0.975], [0.768, 0.408, 0.993], [0.771, 0.796, 0.210], [0.772, 0.165, 0.596], [0.799, 0.498, 0.237], [0.863, 0.834, 0.095], [0.884, 0.172, 0.745], [0.891, 0.920, 0.341], [0.894, 0.536, 0.122], [0.927, 0.610, 0.355], [0.932, 0.481, 0.568], [0.941, 0.707, 0.468], [0.948, 0.251, 0.986], [0.949, 0.087, 0.162], [0.957, 0.562, 0.806], [0.998, 0.213, 0.295], [0.998, 0.831, 0.589]]}